(1)
{"formula": "Nd2SbN", "functional": "PBE", "state": "relaxed", "lattice": [[1.8640, 1.0762, 7.7755], [-1.8640, 1.0762, 7.7755], [0.0000, -2.1523, 7.7755]], "species": ["Nd", "Nd", "Sb", "N"], "frac_coords": [[0.2258, 0.2258, 0.2258], [0.7742, 0.7742, 0.7742], [0.0000, 0.0000, 0.0000], [0.5000, 0.5000, 0.5000]], "total_magnetization_mub_per_cell": 0.0, "polymorph_energy_ev_per_atom": 0.181, "density_g_cm3": 7.5}

---

(2)
{"formula": "SrSmAgTe3", "functional": "PBE", "state": "relaxed", "lattice": [[9.0915, 0.0000, 0.0000], [0.0000, 4.4644, 0.0000], [-2.3864, 0.0000, 9.7752]], "species": ["Sr", "Sr", "Sm", "Sm", "Ag", "Ag", "Te", "Te", "Te", "Te", "Te", "Te"], "frac_coords": [[0.1920, 0.2500, 0.2479], [0.8080, 0.7500, 0.7521], [0.3228, 0.7500, 0.8315], [0.6772, 0.2500, 0.1685], [0.0834, 0.2500, 0.5843], [0.9166, 0.7500, 0.4157], [0.0918, 0.2500, 0.8697], [0.2522, 0.7500, 0.5131], [0.4308, 0.7500, 0.1586], [0.5692, 0.2500, 0.8414], [0.7478, 0.2500, 0.4869], [0.9082, 0.7500, 0.1303]], "total_magnetization_mub_per_cell": 0.0, "e_tot_ev_per_cell": -52.024, "density_g_cm3": 6.1}

---

(3)
{"formula": "Li5ErMg4", "functional": "PBE", "state": "relaxed", "lattice": [[3.5186, 0.0000, 0.0000], [0.0000, 3.5186, 0.0000], [0.0000, 0.0000, 17.2172]], "species": ["Li", "Li", "Li", "Li", "Li", "Er", "Mg", "Mg", "Mg", "Mg"], "frac_coords": [[0.0000, 0.0000, 0.0000], [0.0000, 0.0000, 0.1922], [0.0000, 0.0000, 0.3806], [0.0000, 0.0000, 0.6194], [0.0000, 0.0000, 0.8078], [0.5000, 0.5000, 0.5000], [0.5000, 0.5000, 0.0968], [0.5000, 0.5000, 0.2918], [0.5000, 0.5000, 0.7082], [0.5000, 0.5000, 0.9032]], "total_magnetization_mub_per_cell": 0.0, "formation_energy_mev_per_atom": 0, "density_g_cm3": 2.3}

---

(4)
{"formula": "TlIr3Se", "functional": "PBE", "state": "relaxed", "lattice": [[4.6598, 0.0000, 0.0000], [0.0000, 4.6598, 0.0000], [0.0000, 0.0000, 4.6598]], "species": ["Tl", "Ir", "Ir", "Ir", "Se"], "frac_coords": [[0.0000, 0.0000, 0.0000], [0.0000, 0.5000, 0.5000], [0.5000, 0.0000, 0.5000], [0.5000, 0.5000, 0.0000], [0.5000, 0.5000, 0.5000]], "total_magnetization_mub_per_cell": 0.0, "polymorph_energy_ev_per_atom": 0.000, "density_g_cm3": 14.1}

---

(5)
{"formula": "LuZnIrPt", "functional": "PBE", "state": "relaxed", "lattice": [[0.0000, 3.2294, 3.2294], [3.2294, 0.0000, 3.2294], [3.2294, 3.2294, 0.0000]], "species": ["Lu", "Zn", "Ir", "Pt"], "frac_coords": [[0.0000, 0.0000, 0.0000], [0.5000, 0.5000, 0.5000], [0.7500, 0.7500, 0.7500], [0.2500, 0.2500, 0.2500]], "total_magnetization_mub_per_cell": 0.0, "formation_energy_mev_per_atom": -721, "density_g_cm3": 15.5}

---

(6)
{"formula": "Ca3TbZr2N6", "functional": "PBE", "state": "relaxed", "lattice": [[2.9384, -5.0937, 0.0000], [2.9384, 5.0937, 0.0000], [-1.9632, 0.0000, 5.6604]], "species": ["Ca", "Ca", "Ca", "Tb", "Zr", "Zr", "N", "N", "N", "N", "N", "N"], "frac_coords": [[0.0000, 0.0000, 0.0000], [0.3327, 0.6673, 0.0000], [0.6673, 0.3327, 0.0000], [0.5000, 0.5000, 0.5000], [0.1671, 0.8329, 0.5000], [0.8329, 0.1671, 0.5000], [0.0775, 0.4266, 0.2801], [0.2248, 0.2248, 0.7218], [0.4266, 0.0775, 0.2801], [0.5734, 0.9225, 0.7199], [0.7752, 0.7752, 0.2782], [0.9225, 0.5734, 0.7199]], "total_magnetization_mub_per_cell": 0.0, "e_tot_ev_per_cell": -93.727, "density_g_cm3": 5.3}

---

(7)
{"formula": "Er5Pb2C", "functional": "PBE", "state": "relaxed", "lattice": [[2.4345, -8.3876, 0.0000], [2.4345, 8.3876, 0.0000], [0.0000, 0.0000, 12.1347]], "species": ["Er", "Er", "Er", "Er", "Er", "Er", "Er", "Er", "Er", "Er", "Pb", "Pb", "Pb", "Pb", "C", "C"], "frac_coords": [[0.1165, 0.8835, 0.6119], [0.1165, 0.8835, 0.8881], [0.2680, 0.7320, 0.2500], [0.3123, 0.6877, 0.5905], [0.3123, 0.6877, 0.9095], [0.6877, 0.3123, 0.0905], [0.6877, 0.3123, 0.4095], [0.7320, 0.2680, 0.7500], [0.8835, 0.1165, 0.1119], [0.8835, 0.1165, 0.3881], [0.0690, 0.9310, 0.1299], [0.0690, 0.9310, 0.3701], [0.9310, 0.0690, 0.6299], [0.9310, 0.0690, 0.8701], [0.2237, 0.7763, 0.7500], [0.7763, 0.2237, 0.2500]], "total_magnetization_mub_per_cell": 0.0, "formation_energy_mev_per_atom": -1, "density_g_cm3": 8.5}

---

(8)
{"formula": "Ba2CdInPt6", "functional": "PBE", "state": "relaxed", "lattice": [[0.0000, 5.0979, 5.0979], [5.0979, 0.0000, 5.0979], [5.0979, 5.0979, 0.0000]], "species": ["Ba", "Ba", "Cd", "In", "Pt", "Pt", "Pt", "Pt", "Pt", "Pt"], "frac_coords": [[0.2500, 0.2500, 0.2500], [0.7500, 0.7500, 0.7500], [0.0000, 0.0000, 0.0000], [0.5000, 0.5000, 0.5000], [0.2511, 0.2511, 0.7489], [0.2511, 0.7489, 0.2511], [0.2511, 0.7489, 0.7489], [0.7489, 0.2511, 0.2511], [0.7489, 0.2511, 0.7489], [0.7489, 0.7489, 0.2511]], "total_magnetization_mub_per_cell": 0.0, "formation_energy_mev_per_atom": 105, "density_g_cm3": 10.5}

---

(9)
{"formula": "La2TbDyEr2", "functional": "PBE", "state": "relaxed", "lattice": [[7.0760, 0.0000, 0.0000], [0.0000, 5.6952, 0.0000], [0.0000, 0.0000, 9.8649]], "species": ["La", "La", "La", "La", "Tb", "Tb", "Dy", "Dy", "Er", "Er", "Er", "Er"], "frac_coords": [[0.0000, 0.0000, 0.0000], [0.2500, 0.5000, 0.1758], [0.5000, 0.0000, 0.0000], [0.7500, 0.5000, 0.8242], [0.0000, 0.5000, 0.5000], [0.5000, 0.5000, 0.5000], [0.2500, 0.0000, 0.6607], [0.7500, 0.0000, 0.3393], [0.2500, 0.0000, 0.3356], [0.2500, 0.5000, 0.8331], [0.7500, 0.0000, 0.6644], [0.7500, 0.5000, 0.1669]], "total_magnetization_mub_per_cell": 0.0, "formation_energy_mev_per_atom": 72, "density_g_cm3": 7.8}

---

(10)
{"formula": "KTcAg2I8", "functional": "PBE", "state": "relaxed", "lattice": [[6.7347, 0.0000, 0.0000], [-0.8996, 7.2592, 0.0000], [-3.2767, -0.4135, 9.5422]], "species": ["K", "Tc", "Ag", "Ag", "I", "I", "I", "I", "I", "I", "I", "I"], "frac_coords": [[0.0000, 0.0000, 0.0000], [0.0000, 0.0000, 0.5000], [0.4666, 0.3827, 0.2961], [0.5334, 0.6173, 0.7039], [0.1805, 0.8369, 0.3394], [0.2377, 0.3383, 0.4922], [0.2602, 0.4878, 0.0232], [0.3046, 0.9083, 0.7418], [0.6954, 0.0917, 0.2582], [0.7398, 0.5122, 0.9768], [0.7623, 0.6617, 0.5078], [0.8195, 0.1631, 0.6606]], "total_magnetization_mub_per_cell": 3.0, "e_tot_ev_per_cell": -33.226, "density_g_cm3": 4.9}

---

(11)
{"formula": "SrTlRhF6", "functional": "PBE", "state": "relaxed", "lattice": [[-3.7569, 4.0688, 5.2124], [3.7569, -4.0688, 5.2124], [3.7569, 4.0688, -5.2124]], "species": ["Sr", "Sr", "Tl", "Tl", "Rh", "Rh", "F", "F", "F", "F", "F", "F", "F", "F", "F", "F", "F", "F"], "frac_coords": [[0.0000, 0.0000, 0.0000], [0.5000, 0.0000, 0.5000], [0.3543, 0.6043, 0.7500], [0.6457, 0.3957, 0.2500], [0.0000, 0.0000, 0.5000], [0.0000, 0.5000, 0.0000], [0.0414, 0.4030, 0.2106], [0.0414, 0.8308, 0.6385], [0.0725, 0.8225, 0.2500], [0.3077, 0.1692, 0.7106], [0.3077, 0.5970, 0.1385], [0.3720, 0.1220, 0.2500], [0.6280, 0.8780, 0.7500], [0.6923, 0.4030, 0.8615], [0.6923, 0.8308, 0.2894], [0.9275, 0.1775, 0.7500], [0.9586, 0.1692, 0.3615], [0.9586, 0.5970, 0.7894]], "total_magnetization_mub_per_cell": 0.1, "e_tot_ev_per_cell": -88.478, "density_g_cm3": 5.3}

---

(12)
{"formula": "ZrAu2Se", "functional": "PBE", "state": "relaxed", "lattice": [[-1.7543, 2.3716, 5.3043], [1.7543, -2.3716, 5.3043], [1.7543, 2.3716, -5.3043]], "species": ["Zr", "Au", "Au", "Se"], "frac_coords": [[0.0000, 0.0000, 0.0000], [0.5450, 0.5450, 0.0000], [0.7944, 0.2944, 0.5000], [0.1928, 0.6928, 0.5000]], "total_magnetization_mub_per_cell": 0.0, "e_tot_ev_per_cell": -19.780, "density_g_cm3": 10.6}